# 1
A plane-wave DFT calculation with GGA-PBE was carried out for Ac8TlCd2 after structural relaxation.

Cell lengths 17.8538, 5.9740, 9.4315 Å; angles 90.00, 120.35, 90.00 degrees
Closest atoms and distances in Å follow each position.
Space group C2/m (No. 12)
Asymmetric unit:
Ac  0.0695  0.0000  0.2222 (multiplicity 4)  1 Cd 3.41, 3 Ac 3.63-3.66
Ac  0.0962  0.5000  0.9528 (multiplicity 4)  3 Cd 3.55-3.62, 1 Tl 3.71, 3 Ac 3.93-3.96
Ac  0.1386  0.0000  0.6954 (multiplicity 4)  3 Cd 3.46-3.68, 2 Tl 3.72
Ac  0.1819  0.5000  0.4585 (multiplicity 4)  1 Tl 3.46, 1 Cd 3.48, 4 Ac 3.66-3.68
Tl  0.0000  0.5000  0.5000 (multiplicity 2)  8 Ac 3.46-3.72
Cd  0.2263  0.0000  0.1167 (multiplicity 4)  8 Ac 3.41-3.68

Summary:
The value obtained for the polymorph energy (0 for the lowest one) is 0.0000 eV/atom. For the formation energy, the calculation gives -146 kJ/mol of formula units. The value obtained for the density of states at the Fermi level is 1.002 states/eV per atom.

***

# 2
A plane-wave DFT calculation with GGA-PBE was carried out for CdCu2Ru after structural relaxation.

Cell lengths 3.7925, 3.7925, 18.0896 Å; angles 90.00, 90.00, 90.00 degrees
Closest atoms and distances in Å follow each position.
Space group I-42d (No. 122)
Asymmetric unit:
Cd  0.0000  0.0000  0.0000 (multiplicity 4)  4 Cu 2.66, 4 Ru 2.68
Cu  0.2250  0.2500  0.6250 (multiplicity 8)  4 Cu 2.55-2.82, 2 Ru 2.60, 2 Cd 2.66
Ru  0.0000  0.0000  0.5000 (multiplicity 4)  4 Cu 2.60, 4 Cd 2.68

Summary:
For the formation energy, the calculation gives 249 kJ/mol of formula units. The value obtained for the density of states at the Fermi level is 0.779 states/eV per atom.

***

# 3
A plane-wave DFT calculation with GGA-PBE was carried out for La4IrI2Cl after structural relaxation.

Cell lengths 7.5394, 4.2077, 8.3642 Å; angles 90.00, 107.28, 90.00 degrees
Closest atoms and distances in Å follow each position.
Space group P2/m (No. 10)
Asymmetric unit:
La  0.2115  0.0000  0.1952 (multiplicity 2)  2 Ir 2.84, 1 Cl 3.08
La  0.2596  0.5000  0.7971 (multiplicity 2)  1 Ir 2.95, 2 Cl 2.96
Ir  0.0000  0.5000  0.0000 (multiplicity 1)  6 La 2.84-2.95
I  0.0000  0.0000  0.5000 (multiplicity 1)  6 La 3.38-3.40
I  0.5000  0.5000  0.5000 (multiplicity 1)  6 La 3.48-3.52
Cl  0.5000  0.0000  0.0000 (multiplicity 1)  6 La 2.96-3.08

Summary:
As for the uncorrected formation energy: -113 kJ per mole of atoms. The value obtained for the density of states at the Fermi level is 0.751 states/eV per atom.

***

# 4
A plane-wave DFT calculation with GGA-PBE was carried out for RbSr2Pb2 after structural relaxation.

Cell lengths 6.0714, 6.0714, 13.3907 Å; angles 90.00, 90.00, 90.00 degrees
Closest atoms and distances in Å follow each position.
Space group I4/mmm (No. 139)
Asymmetric unit:
Rb  0.0000  0.0000  0.0000 (multiplicity 2)  8 Pb 4.52, 10 Sr 4.64-4.76
Sr  0.0000  0.0000  0.3469 (multiplicity 4)  4 Pb 3.30
Pb  0.0000  0.5000  0.2500 (multiplicity 4)  4 Sr 3.30

Summary:
The value obtained for the polymorph energy (0 for the lowest one) is 0.2679 eV/atom. For the formation energy, the calculation gives -48 kJ/mol of formula units. The value obtained for the density of states at the Fermi level is 0.870 states/eV per atom.

***

# 5
A plane-wave DFT calculation with GGA-PBE was carried out for RbCdBr2 after structural relaxation.

Cell lengths 4.9665, 4.9665, 27.9258 Å; angles 90.00, 90.00, 120.00 degrees
Closest atoms and distances in Å follow each position.
Space group R-3m (No. 166, hexagonal axes)
Asymmetric unit:
Rb  0.0000  0.0000  0.0000 (multiplicity 3)  6 Br 3.45
Cd  0.0000  0.0000  0.5000 (multiplicity 3)  2 Br 2.74
Br  0.0000  0.0000  0.4020 (multiplicity 6)  1 Cd 2.74

Summary:
As for the uncorrected formation energy: -85 kJ per mole of atoms. The value obtained for the polymorph energy (0 for the lowest one) is 0.0894 eV/atom. The value obtained for the density of states at the Fermi level is 0.674 states/eV per atom.

***

# 6
A plane-wave DFT calculation with GGA-PBE was carried out for SrCa2P after structural relaxation.

Cell lengths 9.8216, 9.8216, 6.2439 Å; angles 90.00, 90.00, 90.00 degrees
Closest atoms and distances in Å follow each position.
Space group I-42d (No. 122)
Asymmetric unit:
Sr  0.0000  0.0000  0.0000 (multiplicity 4)  2 P 3.12
Ca  0.1313  0.2500  0.6250 (multiplicity 8)  2 P 2.88
P  0.0000  0.0000  0.5000 (multiplicity 4)  4 Ca 2.88, 2 Sr 3.12

Summary:
For the formation energy, the calculation gives -179 kJ/mol of formula units. The value obtained for the density of states at the Fermi level is 1.221 states/eV per atom.

***

# 7
A plane-wave DFT calculation with GGA-PBE was carried out for Nd4Er2Th after structural relaxation.

Cell lengths 6.2811, 3.6283, 20.7284 Å; angles 90.00, 95.86, 90.00 degrees
Closest atoms and distances in Å follow each position.
Space group Cm (No. 8)
Asymmetric unit:
Nd  0.0000  0.0000  0.0000 (multiplicity 2)  3 Er 3.53-3.56, 9 Nd 3.63-3.76
Nd  0.0174  0.5000  0.5617 (multiplicity 2)  3 Er 3.58-3.60, 6 Nd 3.63, 3 Th 3.64-3.65
Nd  0.0890  0.0000  0.2792 (multiplicity 2)  6 Er 3.58-3.59, 6 Nd 3.63
Nd  0.1142  0.5000  0.8490 (multiplicity 2)  3 Th 3.61-3.62, 9 Nd 3.63-3.76
Er  0.2084  0.5000  0.1386 (multiplicity 2)  6 Nd 3.53-3.58, 6 Er 3.63
Er  0.3007  0.5000  0.4202 (multiplicity 2)  6 Nd 3.58-3.60, 6 Er 3.63
Th  0.4011  0.5000  0.7062 (multiplicity 2)  6 Nd 3.61-3.65, 6 Th 3.63

Summary:
The value obtained for the polymorph energy (0 for the lowest one) is 0.0000 eV/atom. For the formation energy, the calculation gives 29 kJ/mol of formula units. The value obtained for the density of states at the Fermi level is 1.554 states/eV per atom.

***

# 8
A plane-wave DFT calculation with GGA-PBE was carried out for TaIrW after structural relaxation.

Cell lengths 3.9367, 3.9918, 12.4055 Å; angles 90.00, 90.00, 90.00 degrees
Closest atoms and distances in Å follow each position.
Space group Fmm2 (No. 42)
Asymmetric unit:
Ta  0.0000  0.0000  0.0000 (multiplicity 4)  4 Ta 2.80, 4 Ir 2.84-2.86, 4 W 3.00-3.02
Ir  0.0000  0.0000  0.6648 (multiplicity 4)  4 W 2.73-2.75, 4 Ir 2.80, 4 Ta 2.84-2.86
W  0.0000  0.0000  0.3174 (multiplicity 4)  4 Ir 2.73-2.75, 4 W 2.80, 4 Ta 3.00-3.02

Summary:
The value obtained for the polymorph energy (0 for the lowest one) is 0.0000 eV/atom. For the formation energy, the calculation gives -65 kJ/mol of formula units. The value obtained for the density of states at the Fermi level is 1.134 states/eV per atom.

***

V across the listed records, respectively: 868.1; 260.2; 253.4; 493.6; 596.5; 602.3; 469.9; 194.9 Å³ per cell.